{
  "formula": "LaZnPd2",
  "functional": "PBE-GGA",
  "state": "relaxed",
  "ef_ev_per_fu": -2.0,
  "lattice_angstrom": [[-1.948, 3.033, 0.088], [-1.189, -0.632, -4.509], [-3.777, -2.465, 1.342]],
  "species": ["Zn", "Pd", "Pd", "La"],
  "fractional_positions": [[0.500, 0.500, 0.500], [0.000, 0.000, 0.500], [0.000, 0.500, 0.000], [0.500, 0.000, 0.000]]
}